Ge4RuRh PBE-GGA optimized geometry; theoretical density = 6.90 Mg/m³; formation enthalpy at 0 K = -155 meV per atom
1.0
4.2791 -4.2932 0.0000
4.2791 4.2932 0.0000
0.0000 0.0000 3.2412
Ge Ru Rh
4 1 1
direct
0.2164 0.7836 0.0000 Ge
0.2845 0.2845 0.5000 Ge
0.7155 0.7155 0.5000 Ge
0.7836 0.2164 0.0000 Ge
0.0000 0.0000 0.5000 Ru
0.5000 0.5000 0.0000 Rh

Ge2RuRh PBE-GGA optimized geometry; theoretical density = 6.96 Mg/m³; formation enthalpy at 0 K = 231 meV per atom
1.0
-2.7623 2.7623 5.4598
2.7623 -2.7623 5.4598
2.7623 2.7623 -5.4598
Ge Ru Rh
4 2 2
direct
0.1228 0.6250 0.9978 Ge
0.3750 0.3728 0.4978 Ge
0.6272 0.1250 0.0022 Ge
0.8750 0.8772 0.5022 Ge
0.0000 0.0000 0.0000 Ru
0.7500 0.2500 0.5000 Ru
0.2500 0.7500 0.5000 Rh
0.5000 0.5000 0.0000 Rh

Ge2Ru2Rh PBE-GGA optimized geometry; theoretical density = 9.47 Mg/m³; formation enthalpy at 0 K = 270 meV per atom
1.0
-1.8375 1.8375 5.8474
1.8375 -1.8375 5.8474
1.8375 1.8375 -5.8474
Ge Ru Rh
2 2 1
direct
0.2500 0.7500 0.5000 Ge
0.7500 0.2500 0.5000 Ge
0.1050 0.1050 0.0000 Ru
0.8950 0.8950 0.0000 Ru
0.5000 0.5000 0.0000 Rh

Ge2RuRh PBE-GGA optimized geometry; theoretical density = 10.10 Mg/m³; formation enthalpy at 0 K = -281 meV per atom
1.0
3.0830 0.0000 0.0000
0.0000 3.0830 0.0000
0.0000 0.0000 6.0389
Ge Ru Rh
2 1 1
direct
0.0000 0.0000 0.2475 Ge
0.0000 0.0000 0.7525 Ge
0.5000 0.5000 0.0000 Ru
0.5000 0.5000 0.5000 Rh

Ge2RuRh PBE-GGA optimized geometry; theoretical density = 10.07 Mg/m³; formation enthalpy at 0 K = -248 meV per atom
1.0
0.0000 3.0651 3.0651
3.0651 0.0000 3.0651
3.0651 3.0651 0.0000
Ge Ru Rh
2 1 1
direct
0.2500 0.2500 0.2500 Ge
0.7500 0.7500 0.7500 Ge
0.0000 0.0000 0.0000 Ru
0.5000 0.5000 0.5000 Rh

GeRu2RhSe PBE-GGA optimized geometry; theoretical density = 7.99 Mg/m³; VASP energy = -29.603 eV per cell
1.0
4.5559 0.0000 0.0000
0.0000 4.5559 0.0000
0.0000 0.0000 4.5697
Ge Ru Rh Se
1 2 1 1
direct
0.0000 0.0000 0.0000 Ge
0.0000 0.5000 0.5000 Ru
0.5000 0.0000 0.5000 Ru
0.5000 0.5000 0.0000 Rh
0.5000 0.5000 0.5000 Se

TaGeRuRh PBE-GGA optimized geometry; theoretical density = 12.61 Mg/m³; formation enthalpy at 0 K = -449 meV per atom
1.0
-2.0214 2.0214 3.6854
2.0214 -2.0214 3.6854
2.0214 2.0214 -3.6854
Ta Ge Ru Rh
1 1 1 1
direct
0.0000 0.0000 0.0000 Ta
0.5000 0.5000 0.0000 Ge
0.2500 0.7500 0.5000 Ru
0.7500 0.2500 0.5000 Rh

Th4Ge3RuRh12 PBE-GGA optimized geometry; theoretical density = 10.38 Mg/m³; formation enthalpy at 0 K = -220 meV per atom
1.0
-4.6308 4.6308 4.6308
4.6308 -4.6308 4.6308
4.6308 4.6308 -4.6308
Th Ge Ru Rh
4 3 1 12
direct
0.0000 0.0000 0.5000 Th
0.0000 0.5000 0.0000 Th
0.5000 0.0000 0.0000 Th
0.5000 0.5000 0.5000 Th
0.0000 0.5000 0.5000 Ge
0.5000 0.0000 0.5000 Ge
0.5000 0.5000 0.0000 Ge
0.0000 0.0000 0.0000 Ru
0.0000 0.2575 0.2575 Rh
0.0000 0.7425 0.7425 Rh
0.2500 0.5000 0.7500 Rh
0.2500 0.7500 0.5000 Rh
0.2575 0.0000 0.2575 Rh
0.2575 0.2575 0.0000 Rh
0.5000 0.2500 0.7500 Rh
0.5000 0.7500 0.2500 Rh
0.7425 0.0000 0.7425 Rh
0.7425 0.7425 0.0000 Rh
0.7500 0.2500 0.5000 Rh
0.7500 0.5000 0.2500 Rh

ThGe2RuRh PBE-GGA optimized geometry; theoretical density = 10.45 Mg/m³; formation enthalpy at 0 K = -795 meV per atom
1.0
-2.1207 2.1207 5.1345
2.1207 -2.1207 5.1345
2.1207 2.1207 -5.1345
Th Ge Ru Rh
1 2 1 1
direct
0.0000 0.0000 0.0000 Th
0.3738 0.3738 0.0000 Ge
0.6262 0.6262 0.0000 Ge
0.7500 0.2500 0.5000 Ru
0.2500 0.7500 0.5000 Rh

ThGe2RuRh5 PBE-GGA optimized geometry; theoretical density = 8.51 Mg/m³; formation enthalpy at 0 K = 86 meV per atom
1.0
4.0734 0.0000 0.0000
0.0000 4.0734 0.0000
0.0000 0.0000 11.6754
Th Ge Ru Rh
1 2 1 5
direct
0.0000 0.0000 0.0000 Th
0.5000 0.5000 0.2965 Ge
0.5000 0.5000 0.7035 Ge
0.5000 0.5000 0.5000 Ru
0.0000 0.5000 0.1791 Rh
0.0000 0.5000 0.8209 Rh
0.5000 0.0000 0.1791 Rh
0.5000 0.0000 0.8209 Rh
0.5000 0.5000 0.0000 Rh

YGe2RuRh PBE-GGA optimized geometry; theoretical density = 8.14 Mg/m³; formation enthalpy at 0 K = -794 meV per atom
1.0
-2.1038 2.1038 5.0506
2.1038 -2.1038 5.0506
2.1038 2.1038 -5.0506
Y Ge Ru Rh
1 2 1 1
direct
0.0000 0.0000 0.0000 Y
0.3739 0.3739 0.0000 Ge
0.6261 0.6261 0.0000 Ge
0.2500 0.7500 0.5000 Ru
0.7500 0.2500 0.5000 Rh

ZrGeRuRh PBE-GGA optimized geometry; theoretical density = 9.61 Mg/m³; formation enthalpy at 0 K = -590 meV per atom
1.0
0.0000 3.1671 3.1671
3.1671 0.0000 3.1671
3.1671 3.1671 0.0000
Zr Ge Ru Rh
1 1 1 1
direct
0.0000 0.0000 0.0000 Zr
0.5000 0.5000 0.5000 Ge
0.7500 0.7500 0.7500 Ru
0.2500 0.2500 0.2500 Rh

Ge2Rh2S PBE-GGA optimized geometry; theoretical density = 8.21 Mg/m³; VASP energy = -57.743 eV per cell
1.0
7.3060 0.0000 0.0000
0.0000 7.3060 0.0000
0.0000 0.0000 2.9021
Ge Rh S
4 4 2
direct
0.1497 0.3503 0.0000 Ge
0.3503 0.8503 0.0000 Ge
0.6497 0.1497 0.0000 Ge
0.8503 0.6497 0.0000 Ge
0.1453 0.6453 0.5000 Rh
0.3547 0.1453 0.5000 Rh
0.6453 0.8547 0.5000 Rh
0.8547 0.3547 0.5000 Rh
0.0000 0.0000 0.5000 S
0.5000 0.5000 0.5000 S

GeRhS2 PBE-GGA optimized geometry; theoretical density = 4.90 Mg/m³; VASP energy = -20.860 eV per cell
1.0
1.7482 1.0093 7.6765
-1.7482 1.0093 7.6765
0.0000 -2.0187 7.6765
Ge Rh S
1 1 2
direct
0.0000 0.0000 0.0000 Ge
0.5000 0.5000 0.5000 Rh
0.1132 0.1132 0.1132 S
0.8868 0.8868 0.8868 S

GeRh3S PBE-GGA optimized geometry; theoretical density = 8.00 Mg/m³; VASP energy = -29.701 eV per cell
1.0
4.4111 0.0000 0.0000
0.0000 4.4111 0.0000
0.0000 0.0000 4.4111
Ge Rh S
1 3 1
direct
0.0000 0.0000 0.0000 Ge
0.0000 0.5000 0.5000 Rh
0.5000 0.0000 0.5000 Rh
0.5000 0.5000 0.0000 Rh
0.5000 0.5000 0.5000 S

Ge2RhS6 PBE-GGA optimized geometry; theoretical density = 4.04 Mg/m³; VASP energy = -86.066 eV per cell
1.0
5.6784 -5.2409 0.0000
5.6784 5.2409 0.0000
-1.2163 0.0000 6.0885
Ge Rh S
4 2 12
direct
0.1063 0.2771 0.3324 Ge
0.2771 0.1063 0.8324 Ge
0.7229 0.8937 0.1676 Ge
0.8937 0.7229 0.6676 Ge
0.4037 0.5963 0.7500 Rh
0.5963 0.4037 0.2500 Rh
0.0251 0.2136 0.6456 S
0.1290 0.6188 0.8773 S
0.2136 0.0251 0.1456 S
0.3101 0.4838 0.3737 S
0.3812 0.8710 0.6227 S
0.4838 0.3101 0.8737 S
0.5162 0.6899 0.1263 S
0.6188 0.1290 0.3773 S
0.6899 0.5162 0.6263 S
0.7864 0.9749 0.8544 S
0.8710 0.3812 0.1227 S
0.9749 0.7864 0.3544 S

GeRh2S PBE-GGA optimized geometry; theoretical density = 7.80 Mg/m³; VASP energy = -48.772 eV per cell
1.0
-2.1043 2.1043 7.4674
2.1043 -2.1043 7.4674
2.1043 2.1043 -7.4674
Ge Rh S
2 4 2
direct
0.0000 0.0000 0.0000 Ge
0.7500 0.2500 0.5000 Ge
0.1575 0.6250 0.0325 Rh
0.3750 0.4075 0.5325 Rh
0.5925 0.1250 0.9675 Rh
0.8750 0.8425 0.4675 Rh
0.2500 0.7500 0.5000 S
0.5000 0.5000 0.0000 S

GeRhS2 PBE-GGA optimized geometry; theoretical density = 5.36 Mg/m³; VASP energy = -19.979 eV per cell
1.0
1.7150 0.9901 7.2897
-1.7150 0.9901 7.2897
0.0000 -1.9803 7.2897
Ge Rh S
1 1 2
direct
0.0000 0.0000 0.0000 Ge
0.5000 0.5000 0.5000 Rh
0.3981 0.3981 0.3981 S
0.6019 0.6019 0.6019 S

GeRh2S PBE-GGA optimized geometry; theoretical density = 8.97 Mg/m³; VASP energy = -23.565 eV per cell
1.0
0.0000 3.0635 3.0635
3.0635 0.0000 3.0635
3.0635 3.0635 0.0000
Ge Rh S
1 2 1
direct
0.0000 0.0000 0.0000 Ge
0.2500 0.2500 0.2500 Rh
0.7500 0.7500 0.7500 Rh
0.5000 0.5000 0.5000 S

Ge2RhS2 PBE-GGA optimized geometry; theoretical density = 4.71 Mg/m³; VASP energy = -26.075 eV per cell
1.0
3.9726 -1.7862 0.0000
3.9726 1.7862 0.0000
-3.8431 0.0000 7.7621
Ge Rh S
2 1 2
direct
0.1474 0.1474 0.3594 Ge
0.8526 0.8526 0.6406 Ge
0.5000 0.5000 0.5000 Rh
0.4611 0.4611 0.2018 S
0.5389 0.5389 0.7982 S